1.
{
  "formula": "Cs3GeSb2",
  "functional": "PBE-GGA",
  "state": "optimized geometry",
  "dft_energy_ha_per_atom": -0.10558,
  "de_polymorph_mev_per_atom": 0,
  "raw_formation_energy_ev_per_atom": -0.303,
  "cell": [[5.1482, 0.0000, 0.0000], [0.0000, 15.5068, 0.0000], [0.0000, 0.0000, 14.7469]],
  "species": ["Cs", "Ge", "Ge", "Cs", "Sb", "Cs", "Sb", "Cs", "Ge", "Cs", "Cs", "Cs", "Sb", "Sb", "Cs", "Cs", "Sb", "Cs", "Cs", "Cs", "Ge", "Sb", "Sb", "Sb"],
  "frac_coords": [[0.2500, 0.7031, 0.1651], [0.2500, 0.3659, 0.6476], [0.2500, 0.1341, 0.1476], [0.7500, 0.8870, 0.4189], [0.2500, 0.0303, 0.2876], [0.7500, 0.5632, 0.6145], [0.2500, 0.4697, 0.7876], [0.7500, 0.6130, 0.9189], [0.7500, 0.8659, 0.8524], [0.2500, 0.1130, 0.5811], [0.2500, 0.4368, 0.3855], [0.7500, 0.9368, 0.1145], [0.7500, 0.1800, 0.0812], [0.7500, 0.5303, 0.2124], [0.2500, 0.7969, 0.6651], [0.2500, 0.3870, 0.0811], [0.7500, 0.3200, 0.5812], [0.7500, 0.2031, 0.3349], [0.2500, 0.0632, 0.8855], [0.7500, 0.2969, 0.8349], [0.7500, 0.6341, 0.3524], [0.2500, 0.6800, 0.4188], [0.7500, 0.9697, 0.7124], [0.2500, 0.8200, 0.9188]]
}



2.
{
  "formula": "Cs2GeSbSe4",
  "functional": "PBE-GGA",
  "state": "optimized geometry",
  "dft_energy_ha_per_atom": -0.13359,
  "raw_formation_energy_ev_per_atom": -0.587,
  "cell": [[-3.5454, -4.9749, 2.6297], [-2.2442, -5.8033, -5.5939], [8.6653, -8.7212, 3.5943]],
  "species": ["Sb", "Cs", "Cs", "Se", "Cs", "Ge", "Se", "Sb", "Se", "Se", "Se", "Ge", "Se", "Cs", "Se", "Se"],
  "frac_coords": [[0.7500, 0.5000, 0.5000], [0.5671, 0.5000, 0.8658], [0.9329, 0.5000, 0.1342], [0.2167, 0.1954, 0.8784], [0.8171, 0.0000, 0.3658], [0.2500, 0.5000, 0.5000], [0.4595, 0.6954, 0.3784], [0.0000, 0.0000, 0.0000], [0.8451, 0.6954, 0.6216], [0.2905, 0.8046, 0.1216], [0.1621, 0.3046, 0.3784], [0.5000, 0.0000, 0.0000], [0.9049, 0.8046, 0.8784], [0.1829, 0.0000, 0.6342], [0.5879, 0.1954, 0.1216], [0.5333, 0.3046, 0.6216]]
}



3.
{
  "formula": "CsGeSbSe3",
  "functional": "PBE-GGA",
  "state": "optimized geometry",
  "dft_energy_ha_per_atom": -0.14339,
  "raw_formation_energy_ev_per_atom": -0.561,
  "cell": [[-3.0786, 1.9209, 1.8801], [0.4248, -6.1006, 6.9286], [6.8587, 9.3317, 1.6967]],
  "species": ["Sb", "Cs", "Sb", "Se", "Se", "Cs", "Se", "Ge", "Ge", "Se", "Se", "Se"],
  "frac_coords": [[0.2500, 0.6323, 0.1529], [0.7500, 0.7614, 0.7154], [0.7500, 0.3677, 0.8471], [0.7500, 0.3961, 0.0965], [0.2500, 0.6786, 0.4171], [0.2500, 0.2386, 0.2846], [0.2500, 0.1213, 0.7723], [0.7500, 0.8757, 0.4398], [0.2500, 0.1243, 0.5602], [0.7500, 0.3214, 0.5829], [0.7500, 0.8787, 0.2277], [0.2500, 0.6039, 0.9035]]
}



4.
{
  "formula": "CsSn2GeSb",
  "functional": "PBE-GGA",
  "state": "optimized geometry",
  "dft_energy_ha_per_atom": -0.11199,
  "raw_formation_energy_ev_per_atom": 0.472,
  "cell": [[-4.6193, 0.0612, 2.9095], [-3.3241, -0.0731, -5.2761], [-0.0177, -5.4588, 0.0868]],
  "species": ["Sn", "Cs", "Sb", "Ge", "Sn"],
  "frac_coords": [[0.0000, 0.0000, 0.5000], [0.0000, 0.5000, 0.0000], [0.5000, 0.5000, 0.5000], [0.0000, 0.0000, 0.0000], [0.5000, 0.0000, 0.0000]]
}